Below is a relaxed Pr6Cd5Ru crystal, with properties calculated at the GGA-PBE level.

Properties
M_tot in μB per atom: 0.00
ΔE_f in eV per atom: -0.2938

Cell: 16.9444 7.7525 5.3869 Å, 90.00 108.46 90.00°
Last column: nearest neighbours and their distance in Å.
Space group C2/m (No. 12)
One atom of each set of equivalent atoms:
Pr (0.0000, 0.2262, 0.0000) (multiplicity 4)  2 Ru 3.21, 6 Cd 3.43-3.47, 1 Pr 3.51
Pr (0.1531, 0.2320, 0.6516) (multiplicity 8)  1 Ru 3.05, 7 Cd 3.22-3.41
Cd (0.0000, 0.5000, 0.5000) (multiplicity 2)  8 Pr 3.22-3.43
Cd (0.1690, 0.5000, 0.1669) (multiplicity 4)  8 Pr 3.38-3.45, 2 Cd 3.54-3.58
Cd (0.1864, 0.0000, 0.1845) (multiplicity 4)  8 Pr 3.28-3.47, 2 Cd 3.54-3.58
Ru (0.0000, 0.0000, 0.5000) (multiplicity 2)  8 Pr 3.05-3.21



Below is a relaxed HoCd6Au crystal, with properties calculated at the GGA-PBE level.

Properties
M_tot in μB per atom: 0.00
ΔE_f in eV per atom: -0.1764

Cell: 4.8545 5.9553 12.6386 Å, 90.00 90.00 90.00°
Last column: nearest neighbours and their distance in Å.
Space group Amm2 (No. 38)
One atom of each set of equivalent atoms:
Ho (0.0000, 0.0000, 0.0000) (multiplicity 2)  2 Au 3.08, 8 Cd 3.15-3.34
Cd (0.0000, 0.2411, 0.7347) (multiplicity 4)  6 Cd 2.87-3.08, 1 Au 3.00
Cd (0.5000, 0.0000, 0.1593) (multiplicity 2)  8 Cd 3.03-3.22, 2 Ho 3.15
Cd (0.5000, 0.0000, 0.5970) (multiplicity 2)  8 Cd 3.08-3.31, 2 Au 3.15
Cd (0.5000, 0.2429, 0.8837) (multiplicity 4)  6 Cd 2.89-3.22, 2 Au 2.95, 2 Ho 3.19
Au (0.0000, 0.0000, 0.4384) (multiplicity 2)  8 Cd 2.95-3.15, 2 Ho 3.08